# K2MnSeO4

An optimized crystal structure of K2MnSeO4 (GGA+U, the Alexandria database).

Cell: 5.8046 5.8046 5.8046 Å, 93.76 117.85 117.85°
Positions (direct):
Mn  0.5000  0.2500  0.7500
O  0.3910  0.8596  0.7686
Se  0.0000  0.5000  0.5000
O  0.9090  0.5315  0.1404
K  0.0000  0.0000  0.0000
O  0.0910  0.2314  0.6225
O  0.6090  0.3775  0.4685
K  0.5000  0.7500  0.2500

The calculation puts the size of the total moment at 5.00 μB/f.u. Its total energy is -5.3336 eV per atom.